## HfMgMoO6 (GGA+U)

Data for an optimized crystal structure of HfMgMoO6.

D(E_F)	0.00	states/eV/f.u.
space-group type	P4_2nm
size of the total moment	0.00	μB/cell
electronic total energy	-7.849	eV/atom

POSCAR file:
```
HfMgMoO6
1.0
4.791 0.000 0.000
0.000 4.791 0.000
0.000 0.000 9.305
Hf Mg Mo O
2 2 2 12
Cartesian
0.000 0.000 0.000
2.395 2.395 4.653
0.000 0.000 3.086
2.395 2.395 7.739
0.000 0.000 6.182
2.395 2.395 1.530
0.910 0.910 7.632
0.927 0.927 4.745
1.008 1.008 1.496
1.388 3.403 6.149
1.468 3.322 0.092
1.486 3.305 2.980
3.305 1.486 2.980
3.322 1.468 0.092
3.403 1.388 6.149
3.783 3.783 1.496
3.864 3.864 4.745
3.881 3.881 7.632
```